Record 1
! LaYP2 (PBE-GGA, relaxed); values from VASP
&SYSTEM
  ibrav = 0, nat = 4, ntyp = 3
/
ATOMIC_SPECIES
La 138.91 La.upf
P 30.97 P.upf
Y 88.91 Y.upf
CELL_PARAMETERS angstrom
5.170 -0.005 0.002
-0.133 5.168 0.002
0.543 0.556 3.503
ATOMIC_POSITIONS angstrom
La 0.205 2.862 1.752
P 2.518 2.582 0.002
P 0.000 0.000 0.000
Y 2.856 0.276 1.752
! **E_form**: -1.145 eV per atom
! **Energy above the lowest structure with this stoichiometry**: 1.79 eV per formula unit

---

Record 2
! LaY2P (PBE-GGA, relaxed); values from VASP
&SYSTEM
  ibrav = 0, nat = 4, ntyp = 3
/
ATOMIC_SPECIES
Y 88.91 Y.upf
La 138.91 La.upf
P 30.97 P.upf
CELL_PARAMETERS angstrom
2.804 -2.724 3.585
-1.755 -0.406 4.989
-1.808 -4.648 1.806
ATOMIC_POSITIONS angstrom
Y -0.569 -5.834 7.785
La -0.379 -3.889 5.190
Y 0.000 0.000 0.000
P -0.190 -1.945 2.595
! **E_form**: -0.080 eV per atom
! **Energy above the lowest structure with this stoichiometry**: 2.63 eV per formula unit

---

Record 3
! LaY2P (PBE-GGA, relaxed); values from VASP
&SYSTEM
  ibrav = 0, nat = 4, ntyp = 3
/
ATOMIC_SPECIES
Y 88.91 Y.upf
La 138.91 La.upf
P 30.97 P.upf
CELL_PARAMETERS angstrom
-4.022 -3.142 -8.294
-1.389 -5.870 -7.645
-4.818 -6.055 -5.912
ATOMIC_POSITIONS angstrom
Y -0.269 -0.397 -0.575
La -2.557 -3.767 -5.462
P -7.671 -11.301 -16.387
Y -4.845 -7.137 -10.350
! **E_form**: -0.737 eV per atom
! **Energy above the lowest structure with this stoichiometry**: 0.00 eV per formula unit

---

Record 4
! La2YP (PBE-GGA, relaxed); values from VASP
&SYSTEM
  ibrav = 0, nat = 4, ntyp = 3
/
ATOMIC_SPECIES
P 30.97 P.upf
Y 88.91 Y.upf
La 138.91 La.upf
CELL_PARAMETERS angstrom
-2.848 2.290 1.373
-2.784 -1.753 -2.852
-3.190 -6.090 3.537
ATOMIC_POSITIONS angstrom
P -2.257 -3.780 1.622
Y -3.157 -1.113 0.858
La -5.770 -7.644 0.779
La -5.208 -3.902 1.253
! **E_form**: -0.619 eV per atom
! **Energy above the lowest structure with this stoichiometry**: 0.01 eV per formula unit

---

Record 5
! La2YP (PBE-GGA, relaxed); values from VASP
&SYSTEM
  ibrav = 0, nat = 4, ntyp = 3
/
ATOMIC_SPECIES
La 138.91 La.upf
P 30.97 P.upf
Y 88.91 Y.upf
CELL_PARAMETERS angstrom
9.810 -1.998 0.025
9.810 1.998 0.025
9.394 0.000 3.461
ATOMIC_POSITIONS angstrom
La 6.588 0.000 0.797
P 14.507 0.000 1.756
La 22.425 0.000 2.714
Y 0.000 0.000 0.000
! **E_form**: -0.621 eV per atom
! **Energy above the lowest structure with this stoichiometry**: 0.00 eV per formula unit

---

Record 6
! LaYP2 (PBE-GGA, relaxed); values from VASP
&SYSTEM
  ibrav = 0, nat = 4, ntyp = 3
/
ATOMIC_SPECIES
P 30.97 P.upf
La 138.91 La.upf
Y 88.91 Y.upf
CELL_PARAMETERS angstrom
3.549 0.000 0.000
0.000 3.549 0.000
0.000 0.000 7.140
ATOMIC_POSITIONS angstrom
P 0.000 0.000 3.469
La 1.775 1.775 5.355
P 0.000 0.000 0.101
Y 1.775 1.775 1.785
! **E_form**: -1.125 eV per atom
! **Energy above the lowest structure with this stoichiometry**: 1.87 eV per formula unit

---

Record 7
! LaY2P (PBE-GGA, relaxed); values from VASP
&SYSTEM
  ibrav = 0, nat = 4, ntyp = 3
/
ATOMIC_SPECIES
Y 88.91 Y.upf
La 138.91 La.upf
P 30.97 P.upf
CELL_PARAMETERS angstrom
-2.491 -3.866 3.884
-6.001 -0.416 -0.232
4.493 -0.204 -4.002
ATOMIC_POSITIONS angstrom
Y -1.122 -3.106 0.854
Y -2.877 -1.380 -1.204
La -4.246 -2.141 1.826
P 0.000 0.000 0.000
! **E_form**: -0.323 eV per atom
! **Energy above the lowest structure with this stoichiometry**: 1.65 eV per formula unit

---

Record 8
! LaY2P (PBE-GGA, relaxed); values from VASP
&SYSTEM
  ibrav = 0, nat = 4, ntyp = 3
/
ATOMIC_SPECIES
Y 88.91 Y.upf
La 138.91 La.upf
P 30.97 P.upf
CELL_PARAMETERS angstrom
-3.416 1.545 0.262
-1.292 -2.420 -2.568
-1.872 -5.116 5.763
ATOMIC_POSITIONS angstrom
Y -2.766 -1.563 0.115
La -1.026 -2.803 3.158
P -3.842 -4.506 3.429
Y -1.754 -4.793 5.399
! **E_form**: -0.570 eV per atom
! **Energy above the lowest structure with this stoichiometry**: 0.67 eV per formula unit

---

Record 9
! LaYP2 (PBE-GGA, relaxed); values from VASP
&SYSTEM
  ibrav = 0, nat = 4, ntyp = 3
/
ATOMIC_SPECIES
P 30.97 P.upf
La 138.91 La.upf
Y 88.91 Y.upf
CELL_PARAMETERS angstrom
6.033 0.006 0.000
4.761 3.706 0.000
0.000 0.000 4.373
ATOMIC_POSITIONS angstrom
P 0.091 0.031 3.826
La 8.071 2.775 3.826
Y 5.318 1.828 1.639
P 2.713 0.933 1.640
! **E_form**: -1.347 eV per atom
! **Energy above the lowest structure with this stoichiometry**: 0.98 eV per formula unit

---

Record 10
! LaYP2 (PBE-GGA, relaxed); values from VASP
&SYSTEM
  ibrav = 0, nat = 4, ntyp = 3
/
ATOMIC_SPECIES
La 138.91 La.upf
P 30.97 P.upf
Y 88.91 Y.upf
CELL_PARAMETERS angstrom
6.459 0.016 0.000
3.857 5.181 0.000
-5.158 -2.599 2.892
ATOMIC_POSITIONS angstrom
La 3.229 0.008 1.446
P 0.000 0.000 0.000
P 1.928 2.591 1.446
Y 5.158 2.599 0.000
! **E_form**: -1.023 eV per atom
! **Energy above the lowest structure with this stoichiometry**: 2.28 eV per formula unit

---

Record 11
! LaYP2 (PBE-GGA, relaxed); values from VASP
&SYSTEM
  ibrav = 0, nat = 4, ntyp = 3
/
ATOMIC_SPECIES
P 30.97 P.upf
Y 88.91 Y.upf
La 138.91 La.upf
CELL_PARAMETERS angstrom
4.073 0.000 0.000
2.036 3.527 0.000
2.036 1.176 7.079
ATOMIC_POSITIONS angstrom
P 2.036 1.176 1.654
P 2.036 1.176 5.411
Y 6.109 3.527 7.038
La 4.073 2.351 3.593
! **E_form**: -1.457 eV per atom
! **Energy above the lowest structure with this stoichiometry**: 0.54 eV per formula unit

---

Record 12
! LaY2P (PBE-GGA, relaxed); values from VASP
&SYSTEM
  ibrav = 0, nat = 4, ntyp = 3
/
ATOMIC_SPECIES
Y 88.91 Y.upf
P 30.97 P.upf
La 138.91 La.upf
CELL_PARAMETERS angstrom
-2.264 2.264 5.083
2.264 -2.264 5.083
2.264 2.264 -5.083
ATOMIC_POSITIONS angstrom
Y 0.000 0.000 0.000
P 0.000 2.264 2.542
La 0.000 0.000 5.083
Y 2.264 0.000 2.542
! **E_form**: -0.293 eV per atom
! **Energy above the lowest structure with this stoichiometry**: 1.78 eV per formula unit

---

Record 13
! La2YP (PBE-GGA, relaxed); values from VASP
&SYSTEM
  ibrav = 0, nat = 8, ntyp = 3
/
ATOMIC_SPECIES
P 30.97 P.upf
La 138.91 La.upf
Y 88.91 Y.upf
CELL_PARAMETERS angstrom
-3.452 -7.585 -3.443
8.155 -2.317 -3.073
2.910 -6.362 -0.711
ATOMIC_POSITIONS angstrom
P 2.351 -4.951 -3.258
La 5.174 -4.468 -2.747
La -0.192 -6.140 -2.496
La 4.463 -8.631 -3.172
Y 0.905 -9.449 -3.706
La 5.780 -13.288 -6.040
P 6.708 -6.815 -3.521
Y 0.000 0.000 0.000
! **E_form**: -0.477 eV per atom
! **Energy above the lowest structure with this stoichiometry**: 0.57 eV per formula unit

---

Record 14
! LaY2P (PBE-GGA, relaxed); values from VASP
&SYSTEM
  ibrav = 0, nat = 4, ntyp = 3
/
ATOMIC_SPECIES
Y 88.91 Y.upf
La 138.91 La.upf
P 30.97 P.upf
CELL_PARAMETERS angstrom
0.000 3.678 3.678
3.678 0.000 3.678
3.678 3.678 0.000
ATOMIC_POSITIONS angstrom
Y 1.839 1.839 1.839
La 3.678 3.678 3.678
Y 5.518 5.518 5.518
P 0.000 0.000 0.000
! **E_form**: -0.065 eV per atom
! **Energy above the lowest structure with this stoichiometry**: 2.69 eV per formula unit

---

Record 15
! La2YP (PBE-GGA, relaxed); values from VASP
&SYSTEM
  ibrav = 0, nat = 4, ntyp = 3
/
ATOMIC_SPECIES
P 30.97 P.upf
La 138.91 La.upf
Y 88.91 Y.upf
CELL_PARAMETERS angstrom
-1.762 -3.056 4.839
2.696 1.709 5.067
-2.833 2.862 -4.433
ATOMIC_POSITIONS angstrom
P 0.467 -0.674 4.953
La 0.000 0.000 0.000
Y -2.064 -0.434 2.680
La 0.165 1.949 2.794
! **E_form**: -0.365 eV per atom
! **Energy above the lowest structure with this stoichiometry**: 1.02 eV per formula unit

---

Record 16
! LaYP2 (PBE-GGA, relaxed); values from VASP
&SYSTEM
  ibrav = 0, nat = 4, ntyp = 3
/
ATOMIC_SPECIES
La 138.91 La.upf
P 30.97 P.upf
Y 88.91 Y.upf
CELL_PARAMETERS angstrom
3.784 0.508 3.280
0.343 4.153 2.823
-0.908 -0.236 4.945
ATOMIC_POSITIONS angstrom
La 1.610 2.212 5.524
P 0.805 1.106 2.762
Y 0.000 0.000 0.000
P 2.414 3.319 8.286
! **E_form**: -1.131 eV per atom
! **Energy above the lowest structure with this stoichiometry**: 1.84 eV per formula unit

---

Record 17
! La2YP (PBE-GGA, relaxed); values from VASP
&SYSTEM
  ibrav = 0, nat = 4, ntyp = 3
/
ATOMIC_SPECIES
La 138.91 La.upf
P 30.97 P.upf
Y 88.91 Y.upf
CELL_PARAMETERS angstrom
-3.165 1.506 -4.130
1.691 -5.084 -0.802
-3.162 -1.356 1.928
ATOMIC_POSITIONS angstrom
La 0.845 -2.542 -0.401
P -2.318 -2.467 -1.502
La -1.582 0.753 -2.065
Y -1.581 -0.678 0.964
! **E_form**: -0.365 eV per atom
! **Energy above the lowest structure with this stoichiometry**: 1.02 eV per formula unit

---

Record 18
! La2YP (PBE-GGA, relaxed); values from VASP
&SYSTEM
  ibrav = 0, nat = 4, ntyp = 3
/
ATOMIC_SPECIES
La 138.91 La.upf
P 30.97 P.upf
Y 88.91 Y.upf
CELL_PARAMETERS angstrom
8.046 3.420 -0.770
5.140 6.571 2.728
-5.633 -6.654 1.016
ATOMIC_POSITIONS angstrom
La 10.939 8.288 1.625
La 2.247 1.702 0.334
P -0.246 -0.042 1.872
Y 1.207 -1.617 0.123
! **E_form**: -0.513 eV per atom
! **Energy above the lowest structure with this stoichiometry**: 0.43 eV per formula unit

---

Record 19
! La2ZnP (PBE-GGA, relaxed); values from VASP
&SYSTEM
  ibrav = 0, nat = 8, ntyp = 3
/
ATOMIC_SPECIES
La 138.91 La.upf
P 30.97 P.upf
Zn 65.41 Zn.upf
CELL_PARAMETERS angstrom
-3.414 2.654 0.193
-2.196 -2.654 -2.340
-2.866 -4.526 11.527
ATOMIC_POSITIONS angstrom
La -3.295 -2.942 6.428
La -1.444 -0.209 1.592
La -7.032 -4.317 7.789
P -6.118 -2.968 5.401
P -2.358 -1.558 3.979
Zn -4.565 -4.817 9.746
La -5.181 -1.584 2.952
Zn -3.911 0.291 -0.366
! **E_form**: -0.904 eV per atom
! **Energy above the lowest structure with this stoichiometry**: 0.00 eV per formula unit

---

Record 20
! LaZnP2 (PBE-GGA, relaxed); values from VASP
&SYSTEM
  ibrav = 0, nat = 4, ntyp = 3
/
ATOMIC_SPECIES
Zn 65.41 Zn.upf
P 30.97 P.upf
La 138.91 La.upf
CELL_PARAMETERS angstrom
5.868 0.112 -0.355
4.400 3.885 -0.355
-1.151 -0.448 3.857
ATOMIC_POSITIONS angstrom
Zn 4.697 1.828 3.216
P 8.592 3.344 2.433
P 6.511 2.534 1.715
La 2.994 1.165 0.501
! **E_form**: -0.748 eV per atom